[1]
{"formula": "MgAg2Pd5", "functional": "PBE-GGA", "state": "optimized geometry", "sg": "Pbam", "de_polymorph_ev_per_fu": 0.14, "formation_enthalpy_0k_mev_per_atom": -232, "lattice_angstrom": [[-2.2144, 0.1199, -3.3485], [-3.0382, -4.4012, 1.8516], [-7.2247, 7.1043, 5.0322]], "species": ["Mg", "Mg", "Ag", "Ag", "Ag", "Ag", "Pd", "Pd", "Pd", "Pd", "Pd", "Pd", "Pd", "Pd", "Pd", "Pd"], "frac_coords": [[0.0000, 0.0000, 0.5000], [0.0000, 0.5000, 0.0000], [0.5000, 0.2608, 0.6274], [0.5000, 0.7392, 0.3726], [0.5000, 0.2392, 0.1274], [0.5000, 0.7608, 0.8726], [0.0000, 0.0000, 0.0000], [0.0000, 0.5000, 0.5000], [0.0000, 0.5099, 0.7518], [0.0000, 0.4901, 0.2482], [0.0000, 0.9901, 0.2518], [0.0000, 0.0099, 0.7482], [0.5000, 0.2599, 0.8776], [0.5000, 0.7401, 0.1224], [0.5000, 0.2401, 0.3776], [0.5000, 0.7599, 0.6224]]}



[2]
{"formula": "GdTh2Cd", "functional": "PBE-GGA", "state": "optimized geometry", "sg": "Fm-3m", "de_polymorph_ev_per_fu": 0.41, "formation_enthalpy_0k_mev_per_atom": 81, "lattice_angstrom": [[-2.5818, -4.8835, 0.0107], [0.1034, -3.1690, 4.5234], [-4.5906, -0.6908, 2.9940]], "species": ["Gd", "Th", "Th", "Cd"], "frac_coords": [[0.0000, 0.0000, 0.0000], [0.2500, 0.2500, 0.2500], [0.7500, 0.7500, 0.7500], [0.5000, 0.5000, 0.5000]]}



[3]
{"formula": "GeB3Te", "functional": "PBE-GGA", "state": "optimized geometry", "sg": "Pm-3m", "de_polymorph_ev_per_fu": 0.00, "lattice_angstrom": [[-1.2546, -3.6665, 1.7687], [0.7136, -2.0202, -3.6817], [4.0078, -0.7880, 1.2092]], "species": ["Ge", "Te", "B", "B", "B"], "frac_coords": [[0.0000, 0.0000, 0.0000], [0.5000, 0.5000, 0.5000], [0.0000, 0.5000, 0.0000], [0.0000, 0.0000, 0.5000], [0.5000, 0.0000, 0.0000]]}



[4]
{"formula": "Tb2Ho5Th", "functional": "PBE-GGA", "state": "optimized geometry", "sg": "Pbam", "de_polymorph_ev_per_fu": 0.00, "formation_enthalpy_0k_mev_per_atom": 25, "lattice_angstrom": [[-4.4792, -2.0249, -0.9979], [3.1597, -5.2242, -3.5822], [0.8149, -7.6674, 11.9010]], "species": ["Tb", "Tb", "Tb", "Tb", "Ho", "Ho", "Ho", "Ho", "Ho", "Ho", "Ho", "Ho", "Ho", "Ho", "Th", "Th"], "frac_coords": [[0.5000, 0.2459, 0.6234], [0.5000, 0.7541, 0.3766], [0.5000, 0.2541, 0.1234], [0.5000, 0.7459, 0.8766], [0.0000, 0.0000, 0.0000], [0.0000, 0.5000, 0.5000], [0.0000, 0.5015, 0.7510], [0.0000, 0.4985, 0.2490], [0.0000, 0.9985, 0.2510], [0.0000, 0.0015, 0.7490], [0.5000, 0.2558, 0.8768], [0.5000, 0.7442, 0.1232], [0.5000, 0.2442, 0.3768], [0.5000, 0.7558, 0.6232], [0.0000, 0.0000, 0.5000], [0.0000, 0.5000, 0.0000]]}



[5]
{"formula": "K2HgPt", "functional": "PBE-GGA", "state": "optimized geometry", "sg": "Pmmm", "formation_enthalpy_0k_mev_per_atom": -2, "lattice_angstrom": [[-1.3350, 2.2247, -1.7764], [-2.5716, -3.0373, -1.8712], [-5.9944, 1.2983, 6.1307]], "species": ["Hg", "K", "K", "Pt"], "frac_coords": [[0.5000, 0.5000, 0.7500], [0.0000, 0.0000, 0.0399], [0.0000, 0.0000, 0.4601], [0.5000, 0.5000, 0.2500]]}



[6]
{"formula": "RbTl2Se2", "functional": "PBE-GGA", "state": "optimized geometry", "sg": "R-3m", "de_polymorph_ev_per_fu": 0.00, "lattice_angstrom": [[-3.8374, 0.9492, -1.8601], [-3.2389, -2.9314, 0.0555], [-5.6883, 3.1850, 8.2299]], "species": ["Rb", "Tl", "Tl", "Se", "Se"], "frac_coords": [[0.0000, 0.0000, 0.0000], [0.2065, 0.2065, 0.3804], [0.7935, 0.7935, 0.6196], [0.5886, 0.5886, 0.2343], [0.4114, 0.4114, 0.7657]]}



[7]
{"formula": "AgAu3", "functional": "PBE-GGA", "state": "optimized geometry", "sg": "Pnma", "de_polymorph_ev_per_fu": 0.06, "formation_enthalpy_0k_mev_per_atom": -20, "lattice_angstrom": [[4.9629, 0.0000, 0.0000], [0.0000, 9.5629, 0.0000], [0.0000, 0.0000, 6.0731]], "species": ["Ag", "Ag", "Ag", "Ag", "Au", "Au", "Au", "Au", "Au", "Au", "Au", "Au", "Au", "Au", "Au", "Au"], "frac_coords": [[0.0986, 0.7500, 0.6250], [0.4014, 0.2500, 0.1250], [0.5986, 0.7500, 0.8750], [0.9014, 0.2500, 0.3750], [0.8987, 0.2500, 0.8764], [0.2511, 0.0005, 0.3749], [0.2511, 0.4995, 0.3749], [0.2489, 0.5005, 0.8749], [0.2489, 0.9995, 0.8749], [0.6013, 0.7500, 0.3764], [0.3987, 0.2500, 0.6236], [0.7511, 0.0005, 0.1251], [0.7511, 0.4995, 0.1251], [0.7489, 0.5005, 0.6251], [0.7489, 0.9995, 0.6251], [0.1013, 0.7500, 0.1236]]}



[8]
{"formula": "Nd4Cu2Rh", "functional": "PBE-GGA", "state": "optimized geometry", "sg": "P2_1/m", "formation_enthalpy_0k_mev_per_atom": -172, "lattice_angstrom": [[5.8730, 0.0000, -0.0198], [0.0000, 6.7239, 0.0000], [-2.0100, 0.0000, 9.1713]], "species": ["Nd", "Nd", "Nd", "Nd", "Nd", "Nd", "Nd", "Nd", "Cu", "Cu", "Cu", "Cu", "Rh", "Rh"], "frac_coords": [[0.4657, 0.5199, 0.2459], [0.0763, 0.7500, 0.9037], [0.9237, 0.2500, 0.0963], [0.4657, 0.9801, 0.2459], [0.8955, 0.2500, 0.5222], [0.5343, 0.0199, 0.7541], [0.5343, 0.4801, 0.7541], [0.1045, 0.7500, 0.4778], [0.6140, 0.7500, 0.0048], [0.3860, 0.2500, 0.9952], [0.3570, 0.2500, 0.4690], [0.6430, 0.7500, 0.5310], [0.0066, 0.7500, 0.1841], [0.9934, 0.2500, 0.8159]]}



Number 1: VASP energy -4.3893 eV per atom. Number 2: VASP energy -7.3776 eV per atom. Number 3: VASP energy -3.8622 eV per atom. Number 4: VASP energy -4.9208 eV per atom. Number 5: VASP energy -2.1363 eV per atom. Number 6: VASP energy -3.0993 eV per atom. Number 7: VASP energy -3.1910 eV per atom. Number 8: VASP energy -5.1173 eV per atom.